Entry 1:
VASP calculation (PBE) on a relaxed structure of Zr2Al3Au.

a b c (Å): 6.3838 8.9326 15.5487
angles (deg): 90.00 90.00 90.00
Last column: nearest neighbours and their distance in Å.
Space group Fmmm (No. 69)
One atom of each set of equivalent atoms:
Zr1 0.2453 0.0000 0.0000 (multiplicity 8)  10 Al 3.04, 2 Au 3.06, 2 Zr 3.13-3.25
Zr2 0.2500 0.2500 0.2500 (multiplicity 8)  8 Al 3.03-3.04, 4 Au 3.03, 2 Zr 3.19
Al1 0.0000 0.0000 0.1678 (multiplicity 8)  1 Au 2.57, 2 Al 2.61
Al2 0.0000 0.2474 0.4165 (multiplicity 16)  1 Au 2.56, 2 Al 2.60-2.61
Au1 0.0000 0.0000 0.3332 (multiplicity 8)  3 Al 2.56-2.57

Summary:
- energy of formation (eV/atom) = -0.55
- distance to the lowest polymorph of the same formula (meV/atom) = 61.7
- calculated total energy (eV per atom) = -5.8184
- total magnetic moment (μB per formula unit) = 0.00



Entry 2:
VASP calculation (PBE) on a relaxed structure of AlB.

a b c (Å): 7.4399 7.4399 4.4993
angles (deg): 90.00 90.00 90.00
Last column: nearest neighbours and their distance in Å.
Space group I4/mcm (No. 140)
One atom of each set of equivalent atoms:
Al1 0.1444 0.3556 0.0000 (multiplicity 8)  5 B 2.15-2.25
B1 0.1508 0.3492 0.5000 (multiplicity 8)  5 Al 2.15-2.25

Summary:
- energy of formation (eV/atom) = 0.73
- calculated total energy (eV per atom) = -4.4850
- total magnetic moment (μB per formula unit) = 0.00



Entry 3:
VASP calculation (PBE) on a relaxed structure of AlB.

a b c (Å): 8.5923 8.5923 3.0363
angles (deg): 90.00 90.00 90.00
Last column: nearest neighbours and their distance in Å.
Space group P4/m (No. 83)
One atom of each set of equivalent atoms:
Al1 0.0352 0.2690 0.0000 (multiplicity 4)  4 B 2.11-2.17
Al2 0.2628 0.5409 0.5000 (multiplicity 4)  4 B 2.12-2.23
B1 0.2105 0.7235 0.0000 (multiplicity 4)  2 B 1.76
B2 0.2146 0.2943 0.5000 (multiplicity 4)  2 B 1.76

Summary:
- energy of formation (eV/atom) = 0.22
- calculated total energy (eV per atom) = -4.9873
- total magnetic moment (μB per formula unit) = 0.00



Entry 4:
VASP calculation (PBE) on a relaxed structure of AlB.

a b c (Å): 3.3655 3.6735 4.1565
angles (deg): 95.68 103.86 105.87
Last column: nearest neighbours and their distance in Å.
Space group P1 (No. 1)
One atom of each set of equivalent atoms:
Al1 0.0000 0.0000 0.0000 (multiplicity 1)  5 B 2.23-2.35
Al2 0.3482 0.4242 0.5842 (multiplicity 1)  5 B 2.16-2.31
B1 0.4183 0.6243 0.1072 (multiplicity 1)  1 B 1.65
B2 0.6729 0.9816 0.4286 (multiplicity 1)  1 B 1.65

Summary:
- energy of formation (eV/atom) = 0.24
- calculated total energy (eV per atom) = -4.9726
- total magnetic moment (μB per formula unit) = 0.00



Entry 5:
VASP calculation (PBE) on a relaxed structure of Al4B.

a b c (Å): 4.2362 4.2362 4.2362
angles (deg): 90.00 90.00 90.00
Last column: nearest neighbours and their distance in Å.
Space group Pm-3m (No. 221)
One atom of each set of equivalent atoms:
Al1 0.0000 0.0000 0.0000 (multiplicity 1)  12 Al 3.00
Al2 0.0000 0.5000 0.5000 (multiplicity 3)  2 B 2.12
B1 0.5000 0.5000 0.5000 (multiplicity 1)  6 Al 2.12

Summary:
- energy of formation (eV/atom) = 0.29
- calculated total energy (eV per atom) = -4.0348
- total magnetic moment (μB per formula unit) = 0.00



Entry 6:
VASP calculation (PBE) on a relaxed structure of AlB.

a b c (Å): 2.9873 3.4410 4.8144
angles (deg): 90.00 94.93 90.00
Last column: nearest neighbours and their distance in Å.
Space group Pm (No. 6)
One atom of each set of equivalent atoms:
Al1 0.0000 0.0000 0.0000 (multiplicity 1)  3 B 2.15-2.37
Al2 0.4492 0.5000 0.3741 (multiplicity 1)  6 B 2.20-2.38
B1 0.4790 0.0000 0.6614 (multiplicity 1)  2 B 1.66-1.68
B2 0.9606 0.0000 0.5055 (multiplicity 1)  2 B 1.66-1.68

Summary:
- energy of formation (eV/atom) = 0.19
- calculated total energy (eV per atom) = -5.0250
- total magnetic moment (μB per formula unit) = 0.00



Entry 7:
VASP calculation (PBE) on a relaxed structure of AlB.

a b c (Å): 3.1017 3.9115 4.2112
angles (deg): 103.71 90.14 112.34
Last column: nearest neighbours and their distance in Å.
Space group P-1 (No. 2)
One atom of each set of equivalent atoms:
Al1 0.1159 0.2206 0.3093 (multiplicity 2)  5 B 2.14-2.32
B1 0.2165 0.4295 0.8775 (multiplicity 2)  2 B 1.86

Summary:
- energy of formation (eV/atom) = 0.13
- calculated total energy (eV per atom) = -5.0782
- total magnetic moment (μB per formula unit) = 0.00



Entry 8:
VASP calculation (PBE) on a relaxed structure of AlB.

a b c (Å): 4.5449 4.5449 4.5449
angles (deg): 90.00 90.00 90.00
Last column: nearest neighbours and their distance in Å.
Space group Fm-3m (No. 225)
One atom of each set of equivalent atoms:
Al1 0.0000 0.0000 0.0000 (multiplicity 4)  6 B 2.27
B1 0.0000 0.0000 0.5000 (multiplicity 4)  6 Al 2.27

Summary:
- energy of formation (eV/atom) = 0.62
- calculated total energy (eV per atom) = -4.5860
- total magnetic moment (μB per formula unit) = 0.00



Repeat the third record exactly.
VASP calculation (PBE) on a relaxed structure of AlB.

a b c (Å): 8.5923 8.5923 3.0363
angles (deg): 90.00 90.00 90.00
Last column: nearest neighbours and their distance in Å.
Space group P4/m (No. 83)
One atom of each set of equivalent atoms:
Al1 0.0352 0.2690 0.0000 (multiplicity 4)  4 B 2.11-2.17
Al2 0.2628 0.5409 0.5000 (multiplicity 4)  4 B 2.12-2.23
B1 0.2105 0.7235 0.0000 (multiplicity 4)  2 B 1.76
B2 0.2146 0.2943 0.5000 (multiplicity 4)  2 B 1.76

Summary:
- energy of formation (eV/atom) = 0.22
- calculated total energy (eV per atom) = -4.9873
- total magnetic moment (μB per formula unit) = 0.00



Q: Which of these has the highest energy of formation?
A: number 2